No. 1
ZrAsN | PBE | optimized geometry

Computed properties:
raw total energy	-7.52	eV/atom
energy relative to the elements, uncorrected	-342	meV per atom
volume	20.65	Å³/atom
symmetry	No. 70

Structure (POSCAR):
```
ZrAsN
1.0
6.7592 0.4679 0.0000
-0.6862 6.7405 0.0000
-3.0365 -3.6042 5.4017
Zr As N
4 4 4
direct
0.5345 0.4655 0.5000
0.2845 0.7155 0.0000
0.7155 0.2845 0.0000
0.9655 0.0345 0.5000
0.3607 0.8607 0.7213
0.8893 0.8893 0.7787
0.1393 0.6393 0.2787
0.1107 0.1107 0.2213
0.6250 0.3750 0.7500
0.6250 0.3750 0.2500
0.6250 0.8750 0.2500
0.1250 0.3750 0.7500
```


No. 2
Sc3CdRh | PBE | optimized geometry

Computed properties:
raw total energy	-5.69	eV/atom
offset from the most stable computed form	0.259	eV/atom
formation energy from the elements	-235.9	meV per atom
volume	25.14	Å³/atom
symmetry	No. 221

Structure (POSCAR):
```
Sc3CdRh
1.0
-3.8477 -3.1713 0.4818
2.5459 -3.4769 -2.5541
1.9514 -1.7169 4.2823
Rh Cd Sc
1 1 3
direct
0.0000 0.0000 0.0000
0.5000 0.5000 0.5000
0.0000 0.5000 0.0000
0.0000 0.0000 0.5000
0.5000 0.0000 0.0000
```


No. 3
ZrCd2Re | PBE | optimized geometry

Computed properties:
raw total energy	-5.47	eV/atom
offset from the most stable computed form	0.075	eV/atom
formation energy from the elements	234.2	meV per atom
volume	18.90	Å³/atom
symmetry	No. 47

Structure (POSCAR):
```
ZrCd2Re
1.0
2.8299 0.0000 0.0000
0.0000 4.6519 0.0000
0.0000 0.0000 5.7438
Zr Re Cd
1 1 2
direct
0.5000 0.5000 0.7500
0.5000 0.5000 0.2500
0.0000 0.0000 0.4903
0.0000 0.0000 0.0097
```


No. 4
LiHg5Pd6 | PBE | optimized geometry

Computed properties:
raw total energy	-3.12	eV/atom
formation energy from the elements	-239.7	meV per atom
volume	17.52	Å³/atom
symmetry	No. 12

Structure (POSCAR):
```
LiHg5Pd6
1.0
4.1327 0.0188 -1.2002
-1.0346 6.6409 -3.4589
0.0380 -0.2425 7.7824
Hg Pd Li
5 6 1
direct
0.6702 0.6701 0.3402
0.6555 0.1558 0.3117
0.0000 0.5000 0.0000
0.3298 0.3299 0.6598
0.3445 0.8442 0.6883
0.1655 0.4148 0.3313
0.5000 0.7468 0.0000
0.5000 0.2532 0.0000
0.8345 0.0835 0.6687
0.1655 0.9165 0.3313
0.8345 0.5852 0.6687
0.0000 0.0000 0.0000
```


No. 5
Sr2HgOs | PBE | optimized geometry

Computed properties:
raw total energy	-3.17	eV/atom
formation energy from the elements	554.9	meV per atom
volume	29.50	Å³/atom
symmetry	No. 166

Structure (POSCAR):
```
Sr2HgOs
1.0
9.9794 -0.0031 -0.0018
9.2799 3.6703 -0.0018
9.2799 1.7670 3.2169
Os Sr Hg
1 2 1
direct
0.7500 0.7500 0.7500
0.4884 0.4884 0.4884
0.0116 0.0116 0.0116
0.2500 0.2500 0.2500
```


No. 6
TiPtOF2 | PBE | optimized geometry

Computed properties:
raw total energy	-5.02	eV/atom
energy relative to the elements, uncorrected	-497	meV per atom
offset from the most stable computed form	1.060	eV/atom
volume	15.12	Å³/atom
symmetry	No. 123

Structure (POSCAR):
```
TiPtOF2
1.0
4.3590 0.0000 0.0000
0.0000 4.3590 0.0000
0.0000 0.0000 3.9789
F Ti O Pt
2 1 1 1
direct
0.5000 0.0000 0.0000
0.0000 0.5000 0.0000
0.5000 0.5000 0.5000
0.0000 0.0000 0.5000
0.0000 0.0000 0.0000
```


No. 7
La2MoP2 | PBE | optimized geometry

Computed properties:
raw total energy	-7.09	eV/atom
offset from the most stable computed form	0.000	eV/atom
formation energy from the elements	-792.1	meV per atom
volume	21.01	Å³/atom
symmetry	No. 127

Structure (POSCAR):
```
La2MoP2
1.0
-4.4601 3.7016 3.5771
1.7481 -3.3626 5.6593
3.2197 3.0749 0.8326
P La Mo
4 4 2
direct
0.6316 0.1316 0.0000
0.3684 0.8684 0.0000
0.8684 0.6316 0.0000
0.1316 0.3684 0.0000
0.6787 0.8213 0.5000
0.3213 0.1787 0.5000
0.8213 0.3213 0.5000
0.1787 0.6787 0.5000
0.0000 0.0000 0.0000
0.5000 0.5000 0.0000
```


No. 8
Sc2BeSe | PBE | optimized geometry

Computed properties:
raw total energy	-5.68	eV/atom
energy relative to the elements, uncorrected	-710	meV per atom
offset from the most stable computed form	0.000	eV/atom
volume	17.39	Å³/atom
symmetry	No. 38

Structure (POSCAR):
```
Sc2BeSe
1.0
5.3325 -0.0012 0.0000
3.9243 3.6104 0.0000
0.0000 0.0000 3.6119
Be Se Sc
1 1 2
direct
0.2909 0.2909 0.1250
0.4495 0.4495 0.6250
0.7338 0.7338 0.6250
0.0258 0.0258 0.1250
```